Run a
Computed, not measured: a geometry-optimized TaReP structure at the PBE-GGA level of DFT.

Lattice parameters (Å, degrees): 5.9504 5.9504 5.9504 90.00 90.00 90.00
Last column: nearest neighbours and their distance in Å.
Element x y z (fractional)
Ta: 0.0000 0.0000 0.0000  4 Re 2.58
Ta: 0.0000 0.5000 0.5000  4 Re 2.58
Ta: 0.5000 0.0000 0.5000  4 Re 2.58
Ta: 0.5000 0.5000 0.0000  4 Re 2.58
Re: 0.2500 0.2500 0.2500  4 P 2.58, 4 Ta 2.58
Re: 0.2500 0.7500 0.7500  4 Ta 2.58, 4 P 2.58
Re: 0.7500 0.2500 0.7500  4 Ta 2.58, 4 P 2.58
Re: 0.7500 0.7500 0.2500  4 P 2.58, 4 Ta 2.58
P: 0.0000 0.0000 0.5000  4 Re 2.58
P: 0.0000 0.5000 0.0000  4 Re 2.58
P: 0.5000 0.0000 0.0000  4 Re 2.58
P: 0.5000 0.5000 0.5000  4 Re 2.58

Output
* space group: F-43m (216)
* total moment: 0.00 μB per formula unit
* calculated volume: 17.6 Å³ per atom

Run b
Computed, not measured: a geometry-optimized TaReP structure at the PBE-GGA level of DFT.

Lattice parameters (Å, degrees): 5.7970 5.7970 5.7970 90.00 90.00 90.00
Last column: nearest neighbours and their distance in Å.
Element x y z (fractional)
Ta: 0.0000 0.0000 0.0000  4 P 2.51
Ta: 0.0000 0.5000 0.5000  4 P 2.51
Ta: 0.5000 0.0000 0.5000  4 P 2.51
Ta: 0.5000 0.5000 0.0000  4 P 2.51
Re: 0.0000 0.0000 0.5000  4 P 2.51
Re: 0.0000 0.5000 0.0000  4 P 2.51
Re: 0.5000 0.0000 0.0000  4 P 2.51
Re: 0.5000 0.5000 0.5000  4 P 2.51
P: 0.2500 0.2500 0.7500  4 Ta 2.51, 4 Re 2.51
P: 0.2500 0.7500 0.2500  4 Ta 2.51, 4 Re 2.51
P: 0.7500 0.2500 0.2500  4 Ta 2.51, 4 Re 2.51
P: 0.7500 0.7500 0.7500  4 Ta 2.51, 4 Re 2.51

Output
* space group: F-43m (216)
* total moment: 0.00 μB per formula unit
* calculated volume: 16.2 Å³ per atom

Run c
Computed, not measured: a geometry-optimized TaReP structure at the PBE-GGA level of DFT.

Lattice parameters (Å, degrees): 3.0725 3.7817 7.9520 90.00 90.00 90.00
Last column: nearest neighbours and their distance in Å.
Element x y z (fractional)
Ta: 0.0000 0.0000 0.0000  5 P 2.62-2.79, 5 Re 2.70-2.75
Ta: 0.5000 0.5000 0.5000  5 P 2.62-2.79, 5 Re 2.70-2.75
Re: 0.0000 0.0000 0.6608  5 P 2.64-2.78, 5 Ta 2.70-2.75
Re: 0.5000 0.5000 0.1608  5 P 2.64-2.78, 5 Ta 2.70-2.75
P: 0.0000 0.0000 0.3293  5 Ta 2.62-2.79, 5 Re 2.64-2.78
P: 0.5000 0.5000 0.8293  5 Ta 2.62-2.79, 5 Re 2.64-2.78

Output
* space group: Imm2 (44)
* total moment: 0.00 μB per formula unit
* calculated volume: 15.4 Å³ per atom

Most stable: run c

Run a
Computed, not measured: a geometry-optimized TaReP structure at the PBE-GGA level of DFT.

Lattice parameters (Å, degrees): 2.9635 2.9635 10.1716 90.00 90.00 90.00
Last column: nearest neighbours and their distance in Å.
Element x y z (fractional)
Ta: 0.0000 0.0000 0.0000  4 P 2.76, 5 Re 2.93-3.04, 4 Ta 2.96
Ta: 0.5000 0.5000 0.5000  4 P 2.76, 5 Re 2.93-3.04, 4 Ta 2.96
Re: 0.0000 0.0000 0.2985  4 P 2.43
Re: 0.5000 0.5000 0.7985  4 P 2.43
P: 0.0000 0.0000 0.6773  4 Re 2.43
P: 0.5000 0.5000 0.1773  4 Re 2.43

Output
* space group: I4mm (107)
* total moment: 0.00 μB per formula unit
* calculated volume: 14.9 Å³ per atom

Run b
Computed, not measured: a geometry-optimized TaReP structure at the PBE-GGA level of DFT.

Lattice parameters (Å, degrees): 7.1048 7.1048 3.1976 90.00 90.00 120.00
Last column: nearest neighbours and their distance in Å.
Element x y z (fractional)
Ta: 0.0000 0.6201 0.0000  5 Re 2.70-2.74, 6 P 2.90-2.92
Ta: 0.3799 0.3799 0.0000  5 Re 2.70-2.74, 6 P 2.90-2.92
Ta: 0.6201 0.0000 0.0000  5 Re 2.70-2.74, 6 P 2.90-2.92
Re: 0.0000 0.0000 0.0000  6 P 2.53, 3 Ta 2.70
Re: 0.3333 0.6667 0.5000  3 P 2.59, 6 Ta 2.74
Re: 0.6667 0.3333 0.5000  3 P 2.59, 6 Ta 2.74
P: 0.0000 0.2765 0.5000  4 Re 2.53-2.59
P: 0.2765 0.0000 0.5000  4 Re 2.53-2.59
P: 0.7235 0.7235 0.5000  4 Re 2.53-2.59

Output
* space group: P-62m (189)
* total moment: 0.00 μB per formula unit
* calculated volume: 15.5 Å³ per atom

Most stable: run a

Run a
Computed, not measured: a geometry-optimized TaReP structure at the PBE-GGA level of DFT.

Lattice parameters (Å, degrees): 6.0022 6.0022 6.0022 90.00 90.00 90.00
Last column: nearest neighbours and their distance in Å.
Element x y z (fractional)
Ta: 0.0000 0.0000 0.0000  4 P 2.60, 4 Re 2.60
Ta: 0.0000 0.5000 0.5000  4 P 2.60, 4 Re 2.60
Ta: 0.5000 0.0000 0.5000  4 P 2.60, 4 Re 2.60
Ta: 0.5000 0.5000 0.0000  4 P 2.60, 4 Re 2.60
Re: 0.2500 0.2500 0.2500  4 Ta 2.60
Re: 0.2500 0.7500 0.7500  4 Ta 2.60
Re: 0.7500 0.2500 0.7500  4 Ta 2.60
Re: 0.7500 0.7500 0.2500  4 Ta 2.60
P: 0.2500 0.2500 0.7500  4 Ta 2.60
P: 0.2500 0.7500 0.2500  4 Ta 2.60
P: 0.7500 0.2500 0.2500  4 Ta 2.60
P: 0.7500 0.7500 0.7500  4 Ta 2.60

Output
* space group: F-43m (216)
* total moment: 0.00 μB per formula unit
* calculated volume: 18.0 Å³ per atom

Run b
Computed, not measured: a geometry-optimized TaReP structure at the PBE-GGA level of DFT.

Lattice parameters (Å, degrees): 4.1875 4.1875 3.0027 90.00 90.00 120.00
Last column: nearest neighbours and their distance in Å.
Element x y z (fractional)
Ta: 0.0000 0.0000 0.0000  6 Re 2.85, 6 P 2.85, 2 Ta 3.00
Re: 0.6667 0.3333 0.5000  3 P 2.42
P: 0.3333 0.6667 0.5000  3 Re 2.42

Output
* space group: P-6m2 (187)
* total moment: 0.00 μB per formula unit
* calculated volume: 15.2 Å³ per atom

Most stable: run b

Run a
Computed, not measured: a geometry-optimized TaRe2P structure at the PBE-GGA level of DFT.

Lattice parameters (Å, degrees): 7.2365 7.2365 5.0330 90.00 90.00 90.00
Last column: nearest neighbours and their distance in Å.
Element x y z (fractional)
Ta: 0.0000 0.0000 0.0000  2 P 2.52
Ta: 0.0000 0.5000 0.2500  2 P 2.52
Ta: 0.5000 0.0000 0.7500  2 P 2.52
Ta: 0.5000 0.5000 0.5000  2 P 2.52
Re: 0.1686 0.2500 0.6250  2 P 2.27
Re: 0.2500 0.6686 0.8750  2 P 2.27
Re: 0.2500 0.8314 0.3750  2 P 2.27
Re: 0.3314 0.2500 0.1250  2 P 2.27
Re: 0.6686 0.7500 0.1250  2 P 2.27
Re: 0.7500 0.1686 0.3750  2 P 2.27
Re: 0.7500 0.3314 0.8750  2 P 2.27
Re: 0.8314 0.7500 0.6250  2 P 2.27
P: 0.0000 0.0000 0.5000  4 Re 2.27, 2 Ta 2.52
P: 0.0000 0.5000 0.7500  4 Re 2.27, 2 Ta 2.52
P: 0.5000 0.0000 0.2500  4 Re 2.27, 2 Ta 2.52
P: 0.5000 0.5000 0.0000  4 Re 2.27, 2 Ta 2.52

Output
* space group: I-42d (122)
* total moment: 0.00 μB per formula unit
* calculated volume: 16.5 Å³ per atom

Run b
Computed, not measured: a geometry-optimized TaRe2P structure at the PBE-GGA level of DFT.

Lattice parameters (Å, degrees): 3.0813 4.2353 4.6690 90.00 90.00 90.00
Last column: nearest neighbours and their distance in Å.
Element x y z (fractional)
Ta: 0.0000 0.0000 0.0000  4 P 2.62, 4 Re 2.80
Re: 0.0000 0.5000 0.5000  4 Re 2.62, 4 P 2.80
Re: 0.5000 0.0000 0.5000  4 Re 2.62, 4 Ta 2.80
P: 0.5000 0.5000 0.0000  4 Ta 2.62, 4 Re 2.80

Output
* space group: Pmmm (47)
* total moment: 0.00 μB per formula unit
* calculated volume: 15.2 Å³ per atom

Run c
Computed, not measured: a geometry-optimized TaRe2P structure at the PBE-GGA level of DFT.

Lattice parameters (Å, degrees): 3.1402 4.8289 8.0697 90.00 90.00 90.00
Last column: nearest neighbours and their distance in Å.
Element x y z (fractional)
Ta: 0.0000 0.0000 0.0000  4 Re 2.74, 4 Ta 2.88
Ta: 0.5000 0.5000 0.0000  4 Re 2.74, 4 Ta 2.88
Re: 0.0000 0.5000 0.2781  2 P 2.38
Re: 0.0000 0.5000 0.7219  2 P 2.38
Re: 0.5000 0.0000 0.2781  2 P 2.38
Re: 0.5000 0.0000 0.7219  2 P 2.38
P: 0.0000 0.0000 0.5000  4 Re 2.38
P: 0.5000 0.5000 0.5000  4 Re 2.38

Output
* space group: Cmmm (65)
* total moment: 0.00 μB per formula unit
* calculated volume: 15.3 Å³ per atom

Most stable: run b

Run a
Computed, not measured: a geometry-optimized TaRe2P structure at the PBE-GGA level of DFT.

Lattice parameters (Å, degrees): 3.0609 4.4073 8.7733 90.00 90.00 90.00
Last column: nearest neighbours and their distance in Å.
Element x y z (fractional)
Ta: 0.0000 0.0000 0.0000  2 P 2.59, 6 Re 2.71-2.86
Ta: 0.5000 0.5000 0.5000  2 P 2.59, 6 Re 2.71-2.86
Re: 0.0000 0.0000 0.5413  2 P 2.47, 4 Ta 2.71
Re: 0.0000 0.5000 0.7748  4 P 2.69, 2 Re 2.79, 4 Ta 2.86-2.96
Re: 0.5000 0.0000 0.2748  4 P 2.69, 2 Re 2.79, 4 Ta 2.86-2.96
Re: 0.5000 0.5000 0.0413  2 P 2.47, 4 Ta 2.71
P: 0.0000 0.5000 0.2617  6 Re 2.47-2.69, 2 Ta 2.59
P: 0.5000 0.0000 0.7617  6 Re 2.47-2.69, 2 Ta 2.59

Output
* space group: Imm2 (44)
* total moment: 0.00 μB per formula unit
* calculated volume: 14.8 Å³ per atom

Run b
Computed, not measured: a geometry-optimized TaRe2P structure at the PBE-GGA level of DFT.

Lattice parameters (Å, degrees): 5.2653 8.9957 2.8495 90.00 115.02 90.00
Last column: nearest neighbours and their distance in Å.
Element x y z (fractional)
Ta: 0.0000 0.0000 0.0000  2 P 2.63, 4 Re 2.69, 2 Ta 2.85
Ta: 0.5000 0.5000 0.0000  2 P 2.63, 4 Re 2.69, 2 Ta 2.85
Re: 0.2500 0.2500 0.5000  4 Re 2.63-2.85, 2 P 2.69, 2 Ta 2.69
Re: 0.2500 0.7500 0.5000  4 Re 2.63-2.85, 2 Ta 2.69, 2 P 2.69
Re: 0.7500 0.2500 0.5000  4 Re 2.63-2.85, 2 Ta 2.69, 2 P 2.69
Re: 0.7500 0.7500 0.5000  4 Re 2.63-2.85, 2 Ta 2.69, 2 P 2.69
P: 0.0000 0.5000 0.0000  2 Ta 2.63, 4 Re 2.69, 2 P 2.85
P: 0.5000 0.0000 0.0000  2 Ta 2.63, 4 Re 2.69, 2 P 2.85

Output
* space group: C2/m (12)
* total moment: 0.00 μB per formula unit
* calculated volume: 15.3 Å³ per atom

Most stable: run a

Run a
Computed, not measured: a geometry-optimized TaRe2P structure at the PBE-GGA level of DFT.

Lattice parameters (Å, degrees): 4.3439 4.3439 3.1533 90.00 90.00 90.00
Last column: nearest neighbours and their distance in Å.
Element x y z (fractional)
Ta: 0.0000 0.0000 0.0000  8 Re 2.68
Re: 0.0000 0.5000 0.5000  4 Ta 2.68, 4 P 2.68
Re: 0.5000 0.0000 0.5000  4 Ta 2.68, 4 P 2.68
P: 0.5000 0.5000 0.0000  8 Re 2.68

Output
* space group: P4/mmm (123)
* total moment: 0.00 μB per formula unit
* calculated volume: 14.9 Å³ per atom

Run b
Computed, not measured: a geometry-optimized TaRe2P structure at the PBE-GGA level of DFT.

Lattice parameters (Å, degrees): 2.9035 4.0393 5.1611 90.00 90.00 90.00
Last column: nearest neighbours and their distance in Å.
Element x y z (fractional)
Ta: 0.0000 0.0000 0.0000  2 Re 2.53-2.63, 4 P 2.78
Re: 0.0000 0.0000 0.4896  2 Ta 2.53-2.63, 4 Re 2.74, 4 P 2.80
Re: 0.5000 0.5000 0.7101  1 P 2.43
P: 0.5000 0.5000 0.2388  1 Re 2.43

Output
* space group: Pmm2 (25)
* total moment: 0.00 μB per formula unit
* calculated volume: 15.1 Å³ per atom

Most stable: run b